This record from Alexandria via LeMat-Bulk describes an optimized crystal structure of Al2HgP. The functional is PBE-GGA.

a b c (Å): 10.3936 10.3936 10.3936
angles (deg): 16.54 16.54 16.54
Fractional coordinates of all 4 atoms:
P 0.7261 0.7261 0.7261
Hg 0.5087 0.5087 0.5087
Al 0.0015 0.0015 0.0015
Al 0.2637 0.2637 0.2637

Properties
* formation enthalpy at 0 K: 0.190 eV per atom